8
Lattice="5.200 0.000 0.000 0.000 5.200 0.000 2.600 2.600 3.777" Properties=species:S:1:pos:R:3 comment="Mn2CO, relaxed, DFT PBE+U" total_energy_ev_per_atom=-7.422 magmom_total_mub_per_fu=8.000 polymorph_energy_mev_per_atom=0 pbc="T T T"
C 2.600 2.600 0.000
C 2.600 5.200 1.888
Mn 3.863 1.300 0.944
Mn 1.336 3.900 0.944
Mn 3.900 3.936 2.833
Mn 6.500 6.463 2.833
O 0.000 0.000 0.000
O 5.200 2.600 1.888